1.
6
Lattice="4.669 -0.004 0.000 -2.210 4.113 0.000 0.000 0.000 4.514" Properties=species:S:1:pos:R:3 comment="Li2Ir GGA-PBE relaxed" total_magnetization_mub_per_cell=0.0 volume_a3_per_cell=86.6 pbc="T T T"
Li 2.684 1.888 1.128
Li 2.063 0.851 3.385
Li -0.224 2.220 3.385
Li 0.396 3.257 1.128
Ir 0.231 0.387 1.128
Ir 2.228 3.722 3.385


2.
4
Lattice="-4.166 -0.484 1.228 0.810 -1.324 2.227 0.216 4.059 2.335" Properties=species:S:1:pos:R:3 comment="LiIr3 GGA-PBE relaxed" total_magnetization_mub_per_cell=0.0 volume_a3_per_cell=55.6 pbc="T T T"
Ir -1.641 -0.204 2.130
Ir 0.514 1.375 2.285
Ir 0.215 4.030 2.318
Li -1.939 2.460 2.168


3.
4
Lattice="-0.767 3.465 -2.044 0.574 -1.238 -2.314 -4.456 -2.017 -1.748" Properties=species:S:1:pos:R:3 comment="LiIr3 GGA-PBE relaxed" total_magnetization_mub_per_cell=0.0 volume_a3_per_cell=54.7 pbc="T T T"
Ir -3.295 -0.708 -4.068
Ir 0.007 -0.157 -0.268
Ir -1.948 -1.471 -1.763
Li -1.354 0.919 -2.037


4.
6
Lattice="-4.638 -1.905 0.562 -3.108 -3.191 2.369 -2.356 3.905 4.771" Properties=species:S:1:pos:R:3 comment="LiIr2 GGA-PBE relaxed" total_magnetization_mub_per_cell=0.0 volume_a3_per_cell=84.8 pbc="T T T"
Ir -2.548 3.697 4.786
Ir -5.195 -1.822 3.101
Ir -6.750 -0.845 5.112
Ir -8.739 -2.376 5.706
Li -3.221 -0.350 2.477
Li -4.523 2.225 5.410


no.,E_form (meV/atom),E_tot (eV/atom),ρ (Mg/m³)
1,-129,-4.358,7.90
2,-67,-7.191,17.43
3,-22,-7.146,17.70
4,-142,-6.687,15.32